[1]
VASP calculation (GGA-PBE) on a relaxed structure of HfBeSe3.

## Properties
- final energy (eV per atom) = -4.7158
- ΔE_f (raw) (eV/atom) = 0.111
- space-group type = Pm-3m

The structure in extended XYZ format:
```
5
Lattice="5.1600 0.0000 0.0000 0.0000 5.1600 0.0000 0.0000 0.0000 5.1600" Properties=species:S:1:pos:R:3 pbc="T T T"
Hf 0.0000 0.0000 0.0000
Be 2.5800 2.5800 2.5800
Se 0.0000 0.0000 2.5800
Se 0.0000 2.5800 0.0000
Se 2.5800 0.0000 0.0000
```

***

[2]
VASP calculation (GGA-PBE) on a relaxed structure of Hf2TiBeSe.

## Properties
- final energy (eV per atom) = -6.5311
- ΔE_f (raw) (eV/atom) = 0.471
- space-group type = P4/mmm

The structure in extended XYZ format:
```
5
Lattice="4.9042 0.0000 0.0000 0.0000 4.9042 0.0000 0.0000 0.0000 4.5682" Properties=species:S:1:pos:R:3 pbc="T T T"
Hf 0.0000 2.4521 0.0000
Hf 2.4521 0.0000 0.0000
Ti 0.0000 0.0000 2.2841
Be 2.4521 2.4521 2.2841
Se 0.0000 0.0000 0.0000
```